1.
# MgSnTe2

A relaxed MgSnTe2 crystal (GGA-PBE, Alexandria via LeMat-Bulk).

Properties
Energy relative to the elements, uncorrected: -2.1 eV/f.u.
E_tot: -3.5014 eV per atom

Cell lengths 4.553, 4.553, 8.998 Å; angles 59.54, 75.35, 60.00 degrees
Positions (direct):
Mg 0.176 0.819 0.171
Sn 0.843 0.924 0.735
Te 0.176 0.457 0.535
Te 0.510 0.286 0.038

---

2.
# MgTlSn2Te4

A relaxed MgTlSn2Te4 crystal (GGA-PBE, Alexandria via LeMat-Bulk).

Properties
Energy relative to the elements, uncorrected: -3.0 eV/f.u.
E_tot: -3.4388 eV per atom

Cell lengths 4.442, 7.694, 7.815 Å; angles 71.23, 90.00, 90.00 degrees
Positions (direct):
Mg 0.000 0.500 0.500
Tl 0.500 0.500 0.000
Sn 0.000 0.000 0.000
Sn 0.500 0.000 0.500
Te 0.000 0.753 0.729
Te 0.000 0.247 0.271
Te 0.500 0.742 0.270
Te 0.500 0.258 0.730

---

3.
# MgTl2SnTe4

A relaxed MgTl2SnTe4 crystal (GGA-PBE, Alexandria via LeMat-Bulk).

Properties
Energy relative to the elements, uncorrected: -3.0 eV/f.u.
E_tot: -3.2381 eV per atom

Cell lengths 7.891, 7.916, 7.108 Å; angles 117.92, 117.89, 99.07 degrees
Positions (direct):
Mg 0.985 0.485 0.971
Tl 0.399 0.899 0.797
Tl 0.194 0.193 0.386
Sn 0.750 0.750 0.500
Te 0.713 0.658 0.818
Te 0.842 0.424 0.242
Te 0.399 0.817 0.240
Te 0.106 0.160 0.819

---

4.
# ThMg2Sn2

A relaxed ThMg2Sn2 crystal (GGA-PBE, Alexandria via LeMat-Bulk).

Properties
Energy above the most stable polymorph in this dataset: 54 meV/atom
E_tot: -4.0226 eV per atom
ΔH_f (0 K): -0.30 eV/atom

Cell lengths 4.421, 4.421, 7.298 Å; angles 107.61, 107.63, 90.00 degrees
Positions (direct):
Th 0.000 0.000 0.000
Mg 0.750 0.250 0.500
Mg 0.250 0.750 0.500
Sn 0.609 0.609 0.217
Sn 0.391 0.391 0.783

---

5.
# Th2Mg2Sn3

A relaxed Th2Mg2Sn3 crystal (GGA-PBE, Alexandria via LeMat-Bulk).

Properties
E_tot: -4.6700 eV per atom
ΔH_f (0 K): -0.38 eV/atom

Cell lengths 4.717, 8.539, 10.579 Å; angles 83.15, 77.12, 73.97 degrees
Positions (direct):
Th 0.268 0.136 0.328
Th 0.732 0.864 0.672
Th 0.416 0.235 0.933
Th 0.584 0.765 0.067
Mg 0.052 0.216 0.680
Mg 0.948 0.784 0.320
Mg 0.402 0.524 0.672
Mg 0.598 0.476 0.328
Sn 0.099 0.929 0.872
Sn 0.901 0.071 0.128
Sn 0.172 0.496 0.160
Sn 0.828 0.504 0.840
Sn 0.373 0.782 0.472
Sn 0.627 0.218 0.528

---

6.
# ThMgSn3

A relaxed ThMgSn3 crystal (GGA-PBE, Alexandria via LeMat-Bulk).

Properties
E_tot: -4.5612 eV per atom
ΔH_f (0 K): -0.36 eV/atom

Cell lengths 6.347, 6.215, 13.690 Å; angles 90.00, 90.00, 90.00 degrees
Positions (direct):
Th 0.750 0.502 0.686
Th 0.250 0.498 0.314
Th 0.750 0.002 0.314
Th 0.250 0.998 0.686
Mg 0.500 0.250 0.107
Mg 0.000 0.750 0.893
Mg 0.500 0.750 0.893
Mg 0.000 0.250 0.107
Sn 0.000 0.250 0.499
Sn 0.500 0.750 0.501
Sn 0.000 0.750 0.501
Sn 0.500 0.250 0.499
Sn 0.250 0.197 0.920
Sn 0.750 0.803 0.080
Sn 0.250 0.697 0.080
Sn 0.750 0.303 0.920
Sn 0.250 0.494 0.745
Sn 0.750 0.506 0.255
Sn 0.250 0.994 0.255
Sn 0.750 0.006 0.745

---

7.
# ThMgSn

A relaxed ThMgSn crystal (GGA-PBE, Alexandria via LeMat-Bulk).

Properties
E_tot: -4.7314 eV per atom
ΔH_f (0 K): -0.39 eV/atom

Cell lengths 4.442, 4.442, 8.251 Å; angles 90.00, 90.00, 90.00 degrees
Positions (direct):
Th 0.750 0.750 0.358
Th 0.250 0.250 0.642
Mg 0.250 0.750 0.000
Mg 0.750 0.250 0.000
Sn 0.250 0.250 0.245
Sn 0.750 0.750 0.755

---

8.
# ThMgSn

A relaxed ThMgSn crystal (GGA-PBE, Alexandria via LeMat-Bulk).

Properties
E_tot: -4.7977 eV per atom
ΔH_f (0 K): -0.46 eV/atom

Cell lengths 4.474, 4.474, 8.758 Å; angles 104.80, 104.80, 90.00 degrees
Positions (direct):
Th 0.671 0.671 0.343
Th 0.329 0.329 0.657
Mg 0.500 0.000 0.000
Mg 0.000 0.500 0.000
Sn 0.130 0.130 0.259
Sn 0.870 0.870 0.741

---

9.
# ThMgSn

A relaxed ThMgSn crystal (GGA-PBE, Alexandria via LeMat-Bulk).

Properties
E_tot: -4.5234 eV per atom
ΔH_f (0 K): -0.18 eV/atom

Cell lengths 3.652, 3.652, 6.579 Å; angles 106.12, 106.12, 90.00 degrees
Positions (direct):
Mg 0.301 0.301 0.602
Sn 0.932 0.932 0.864
Th 0.617 0.617 0.233

---

10.
# Th5Mg3Sn12

A relaxed Th5Mg3Sn12 crystal (GGA-PBE, Alexandria via LeMat-Bulk).

Properties
E_tot: -4.2436 eV per atom
ΔH_f (0 K): 0.25 eV/atom

Cell lengths 15.397, 15.397, 15.397 Å; angles 109.47, 109.47, 109.47 degrees
Positions (direct):
Mg 0.750 0.375 0.125
Mg 0.875 0.750 0.125
Mg 0.375 0.750 0.625
Mg 0.250 0.125 0.375
Mg 0.875 0.125 0.250
Mg 0.375 0.625 0.250
Mg 0.625 0.375 0.750
Mg 0.125 0.875 0.750
Mg 0.750 0.875 0.625
Mg 0.625 0.250 0.375
Mg 0.125 0.250 0.875
Mg 0.250 0.625 0.875
Th 0.125 0.375 0.250
Th 0.000 0.500 0.000
Th 0.000 0.000 0.000
Th 0.375 0.250 0.125
Th 0.500 0.000 0.500
Th 0.500 0.500 0.000
Th 0.125 0.750 0.375
Th 0.750 0.125 0.875
Th 0.750 0.625 0.375
Th 0.375 0.125 0.750
Th 0.625 0.875 0.250
Th 0.500 0.500 0.500
Th 0.500 0.000 0.000
Th 0.000 0.000 0.500
Th 0.250 0.375 0.625
Th 0.250 0.875 0.125
Th 0.000 0.500 0.500
Th 0.875 0.250 0.625
Th 0.625 0.750 0.875
Th 0.875 0.625 0.750
Sn 0.746 0.141 0.080
Sn 0.334 0.580 0.439
Sn 0.920 0.359 0.254
Sn 0.580 0.246 0.141
Sn 0.605 0.746 0.666
Sn 0.920 0.561 0.166
Sn 0.334 0.754 0.395
Sn 0.061 0.895 0.141
Sn 0.561 0.920 0.666
Sn 0.746 0.605 0.166
Sn 0.754 0.420 0.359
Sn 0.834 0.939 0.080
Sn 0.141 0.746 0.580
Sn 0.359 0.439 0.105
Sn 0.105 0.939 0.359
Sn 0.395 0.141 0.561
Sn 0.105 0.166 0.246
Sn 0.420 0.666 0.061
Sn 0.834 0.895 0.254
Sn 0.141 0.395 0.061
Sn 0.359 0.920 0.754
Sn 0.561 0.641 0.395
Sn 0.939 0.834 0.580
Sn 0.754 0.334 0.895
Sn 0.439 0.359 0.605
Sn 0.061 0.166 0.420
Sn 0.246 0.666 0.105
Sn 0.166 0.105 0.746
Sn 0.641 0.080 0.246
Sn 0.859 0.605 0.939
Sn 0.580 0.334 0.939
Sn 0.605 0.859 0.439
Sn 0.895 0.834 0.754
Sn 0.895 0.061 0.641
Sn 0.859 0.254 0.420
Sn 0.166 0.061 0.920
Sn 0.641 0.561 0.895
Sn 0.439 0.080 0.334
Sn 0.254 0.395 0.834
Sn 0.246 0.580 0.641
Sn 0.939 0.105 0.859
Sn 0.666 0.246 0.605
Sn 0.420 0.754 0.859
Sn 0.080 0.439 0.834
Sn 0.395 0.254 0.334
Sn 0.080 0.641 0.746
Sn 0.666 0.420 0.561
Sn 0.254 0.859 0.920

---

11.
# ThMgSn

A relaxed ThMgSn crystal (GGA-PBE, Alexandria via LeMat-Bulk).

Properties
E_tot: -4.6880 eV per atom
ΔH_f (0 K): -0.35 eV/atom

Cell lengths 4.140, 4.745, 4.745 Å; angles 120.00, 90.00, 90.00 degrees
Positions (direct):
Mg 0.166 0.000 0.000
Sn 0.167 0.333 0.667
Th 0.667 0.667 0.333

---

12.
# ThMg2Sn2

A relaxed ThMg2Sn2 crystal (GGA-PBE, Alexandria via LeMat-Bulk).

Properties
Energy above the most stable polymorph in this dataset: 0 meV/atom
E_tot: -4.0764 eV per atom
ΔH_f (0 K): -0.35 eV/atom

Cell lengths 4.450, 4.455, 13.285 Å; angles 90.00, 99.64, 90.00 degrees
Positions (direct):
Th 0.346 0.250 0.692
Th 0.654 0.750 0.308
Mg 0.045 0.750 0.089
Mg 0.457 0.750 0.913
Mg 0.955 0.250 0.911
Mg 0.543 0.250 0.087
Sn 0.750 0.250 0.500
Sn 0.250 0.750 0.500
Sn 0.877 0.750 0.755
Sn 0.123 0.250 0.245